# PrSmGd2 PBE-GGA relaxed
data_PrSmGd2
_symmetry_space_group_name_H-M 'R -3 m'
_symmetry_Int_Tables_number 166
_symmetry_space_group_name_Hall '-R 3 2"'
_cell_length_a 3.5483
_cell_length_b 3.5483
_cell_length_c 37.6484
_cell_angle_alpha 90.00
_cell_angle_beta 90.00
_cell_angle_gamma 120.00
loop_
_atom_site_label
_atom_site_type_symbol
_atom_site_fract_x
_atom_site_fract_y
_atom_site_fract_z
Pr1 Pr 0.0000 0.0000 0.0000
Sm1 Sm 0.0000 0.0000 0.5000
Gd1 Gd 0.0000 0.0000 0.0900
# DOS(E_F) = 1.33 states/eV/atom
# Distance to the lowest polymorph of the same formula = 0.1255 eV per atom
# E = -9.273 eV per atom

---

# Pr2SmGd PBE-GGA relaxed
data_Pr2SmGd
_symmetry_space_group_name_H-M 'P 4/m m m'
_symmetry_Int_Tables_number 123
_symmetry_space_group_name_Hall '-P 4 2'
_cell_length_a 3.6716
_cell_length_b 3.6716
_cell_length_c 10.3056
_cell_angle_alpha 90.00
_cell_angle_beta 90.00
_cell_angle_gamma 90.00
loop_
_atom_site_label
_atom_site_type_symbol
_atom_site_fract_x
_atom_site_fract_y
_atom_site_fract_z
Pr1 Pr 0.0000 0.0000 0.2493
Sm1 Sm 0.5000 0.5000 0.5000
Gd1 Gd 0.5000 0.5000 0.0000
# DOS(E_F) = 1.67 states/eV/atom
# Distance to the lowest polymorph of the same formula = 0.0045 eV per atom
# E = -7.075 eV per atom

---

# PrSm2Gd PBE-GGA relaxed
data_PrSm2Gd
_symmetry_space_group_name_H-M 'R -3 m'
_symmetry_Int_Tables_number 166
_symmetry_space_group_name_Hall '-R 3 2"'
_cell_length_a 3.5454
_cell_length_b 3.5454
_cell_length_c 37.9417
_cell_angle_alpha 90.00
_cell_angle_beta 90.00
_cell_angle_gamma 120.00
loop_
_atom_site_label
_atom_site_type_symbol
_atom_site_fract_x
_atom_site_fract_y
_atom_site_fract_z
Pr1 Pr 0.0000 0.0000 0.0000
Sm1 Sm 0.0000 0.0000 0.0902
Gd1 Gd 0.0000 0.0000 0.5000
# DOS(E_F) = 1.87 states/eV/atom
# Distance to the lowest polymorph of the same formula = 0.1401 eV per atom
# E = -6.923 eV per atom

---

# Pr2SmGd PBE-GGA relaxed
data_Pr2SmGd
_symmetry_space_group_name_H-M 'F m -3 m'
_symmetry_Int_Tables_number 225
_symmetry_space_group_name_Hall '-F 4 2 3'
_cell_length_a 8.2300
_cell_length_b 8.2300
_cell_length_c 8.2300
_cell_angle_alpha 90.00
_cell_angle_beta 90.00
_cell_angle_gamma 90.00
loop_
_atom_site_label
_atom_site_type_symbol
_atom_site_fract_x
_atom_site_fract_y
_atom_site_fract_z
Pr1 Pr 0.2500 0.2500 0.2500
Sm1 Sm 0.0000 0.0000 0.0000
Gd1 Gd 0.0000 0.0000 0.5000
# DOS(E_F) = 2.20 states/eV/atom
# Distance to the lowest polymorph of the same formula = 0.1028 eV per atom
# E = -6.977 eV per atom

---

# Pr2SmGd PBE-GGA relaxed
data_Pr2SmGd
_symmetry_space_group_name_H-M 'P 4/m m m'
_symmetry_Int_Tables_number 123
_symmetry_space_group_name_Hall '-P 4 2'
_cell_length_a 5.1839
_cell_length_b 5.1839
_cell_length_c 5.1616
_cell_angle_alpha 90.00
_cell_angle_beta 90.00
_cell_angle_gamma 90.00
loop_
_atom_site_label
_atom_site_type_symbol
_atom_site_fract_x
_atom_site_fract_y
_atom_site_fract_z
Pr1 Pr 0.0000 0.5000 0.0000
Sm1 Sm 0.0000 0.0000 0.5000
Gd1 Gd 0.5000 0.5000 0.5000
# DOS(E_F) = 1.65 states/eV/atom
# Distance to the lowest polymorph of the same formula = 0.0000 eV per atom
# E = -7.079 eV per atom

---

# PrSmGd PBE-GGA relaxed
data_PrSmGd
_symmetry_space_group_name_H-M 'I 4 m m'
_symmetry_Int_Tables_number 107
_symmetry_space_group_name_Hall 'I 4 -2'
_cell_length_a 4.2610
_cell_length_b 4.2610
_cell_length_c 11.3594
_cell_angle_alpha 90.00
_cell_angle_beta 90.00
_cell_angle_gamma 90.00
loop_
_atom_site_label
_atom_site_type_symbol
_atom_site_fract_x
_atom_site_fract_y
_atom_site_fract_z
Pr1 Pr 0.0000 0.0000 0.0000
Sm1 Sm 0.0000 0.0000 0.6753
Gd1 Gd 0.0000 0.0000 0.3331
# DOS(E_F) = 2.10 states/eV/atom
# Distance to the lowest polymorph of the same formula = 0.0836 eV per atom
# E = -7.759 eV per atom

---

# PrSmGdSn PBE-GGA relaxed
data_PrSmGdSn
_symmetry_space_group_name_H-M 'F -4 3 m'
_symmetry_Int_Tables_number 216
_symmetry_space_group_name_Hall 'F -4 2 3'
_cell_length_a 7.8326
_cell_length_b 7.8326
_cell_length_c 7.8326
_cell_angle_alpha 90.00
_cell_angle_beta 90.00
_cell_angle_gamma 90.00
loop_
_atom_site_label
_atom_site_type_symbol
_atom_site_fract_x
_atom_site_fract_y
_atom_site_fract_z
Pr1 Pr 0.0000 0.0000 0.0000
Sm1 Sm 0.2500 0.2500 0.2500
Gd1 Gd 0.0000 0.0000 0.5000
Sn1 Sn 0.2500 0.2500 0.7500
# DOS(E_F) = 1.26 states/eV/atom
# E = -7.155 eV per atom

---

# TbPrSmGd PBE-GGA relaxed
data_TbPrSmGd
_symmetry_space_group_name_H-M 'F -4 3 m'
_symmetry_Int_Tables_number 216
_symmetry_space_group_name_Hall 'F -4 2 3'
_cell_length_a 8.1540
_cell_length_b 8.1540
_cell_length_c 8.1540
_cell_angle_alpha 90.00
_cell_angle_beta 90.00
_cell_angle_gamma 90.00
loop_
_atom_site_label
_atom_site_type_symbol
_atom_site_fract_x
_atom_site_fract_y
_atom_site_fract_z
Tb1 Tb 0.0000 0.0000 0.0000
Pr1 Pr 0.2500 0.2500 0.2500
Sm1 Sm 0.2500 0.2500 0.7500
Gd1 Gd 0.0000 0.0000 0.5000
# DOS(E_F) = 2.14 states/eV/atom
# E = -6.936 eV per atom

---

| no. | DFT formation energy (eV/f.u.) | size of the total moment (μB/f.u.) |
| --- | --- | --- |
| 1 | 0.57 | 15.39 |
| 2 | 0.06 | 7.39 |
| 3 | 0.61 | 7.08 |
| 4 | 0.45 | 8.35 |
| 5 | 0.04 | 7.34 |
| 6 | 0.30 | 7.97 |
| 7 | -1.04 | 8.01 |
| 8 | 0.47 | 8.55 |